Record 1
# InAuBr2

InAuBr2 after structural relaxation (PBE, the Alexandria database).

Cell and atoms, written as POSCAR:
```
InAuBr2
1.0
-3.749 4.956 -2.945
-5.614 -2.338 3.212
-3.425 5.285 5.225
Au Br In
2 4 2
direct
0.000 0.000 0.000
0.750 0.250 0.500
0.688 0.125 0.250
0.062 0.625 0.250
0.375 0.312 0.750
0.875 0.938 0.750
0.500 0.500 0.000
0.250 0.750 0.500
```

Values from the calculation:
Total magnetic moment   0.000 μB per atom
Raw total energy   -2.564 eV/atom
Uncorrected formation energy   -0.9 eV/f.u.
Distance to the lowest polymorph of the same formula   190 meV per atom
D(E_F)   0.000 states/eV/atom

=====

Record 2
# Hg2PRh

Hg2PRh after structural relaxation (PBE, the Alexandria database).

Cell and atoms, written as POSCAR:
```
Hg2PRh
1.0
-1.524 2.405 5.464
1.524 -2.405 5.464
1.524 2.405 -5.464
Hg P Rh
2 1 1
direct
0.955 0.955 0.000
0.262 0.762 0.500
0.565 0.565 0.000
0.718 0.218 0.500
```

Values from the calculation:
ΔE_f   5 kJ/mol of atoms
Total magnetic moment   0.000 μB per atom
Raw total energy   -3.288 eV/atom
D(E_F)   0.684 states/eV/atom

=====

Record 3
# Nd2MnVS6

Nd2MnVS6 after structural relaxation (PBE, the Alexandria database).

Cell and atoms, written as POSCAR:
```
Nd2MnVS6
1.0
6.331 0.000 -0.015
0.000 7.045 0.000
0.041 0.000 9.110
Nd Mn V S
4 2 2 12
direct
0.041 0.896 0.249
0.541 0.604 0.749
0.959 0.104 0.751
0.459 0.396 0.251
0.500 0.000 0.500
0.000 0.500 0.000
0.500 0.000 0.000
0.000 0.500 0.500
0.325 0.690 0.051
0.825 0.810 0.551
0.675 0.310 0.949
0.175 0.190 0.449
0.317 0.683 0.448
0.817 0.817 0.948
0.683 0.317 0.552
0.183 0.183 0.052
0.886 0.521 0.250
0.386 0.979 0.750
0.114 0.479 0.750
0.614 0.021 0.250
```

Values from the calculation:
Total magnetic moment   0.600 μB per atom
Raw total energy   -6.638 eV/atom
Uncorrected formation energy   -13.8 eV/f.u.
D(E_F)   0.557 states/eV/atom

=====

Record 4
# InIr2

InIr2 after structural relaxation (PBE, the Alexandria database).

Cell and atoms, written as POSCAR:
```
InIr2
1.0
-3.129 3.129 2.676
3.129 -3.129 2.676
3.129 3.129 -2.676
In Ir
2 4
direct
0.250 0.250 0.000
0.750 0.750 0.000
0.860 0.360 0.220
0.140 0.640 0.780
0.360 0.140 0.500
0.640 0.860 0.500
```

Values from the calculation:
ΔE_f   62 kJ/mol of atoms
Total magnetic moment   0.000 μB per atom
Raw total energy   -6.177 eV/atom
D(E_F)   1.192 states/eV/atom

=====

Record 5
# Tb8Tm3Pu2

Tb8Tm3Pu2 after structural relaxation (PBE, the Alexandria database).

Cell and atoms, written as POSCAR:
```
Tb8Tm3Pu2
1.0
5.440 0.401 -1.413
-1.344 6.528 -3.320
2.544 1.461 10.209
Tb Tm Pu
8 3 2
direct
0.000 0.324 0.648
0.000 0.676 0.352
0.000 0.862 0.723
0.000 0.138 0.277
0.500 0.826 0.222
0.500 0.396 0.222
0.500 0.604 0.778
0.500 0.174 0.778
0.500 0.000 0.000
0.000 0.276 0.000
0.000 0.724 0.000
0.500 0.759 0.518
0.500 0.241 0.482
```

Values from the calculation:
ΔE_f   27 kJ/mol of atoms
Total magnetic moment   1.068 μB per atom
Raw total energy   -5.803 eV/atom
D(E_F)   2.284 states/eV/atom

=====

Record 6
# Th4TcHg3

Th4TcHg3 after structural relaxation (PBE, the Alexandria database).

Cell and atoms, written as POSCAR:
```
Th4TcHg3
1.0
-2.955 1.462 1.164
0.163 -1.968 2.885
9.264 12.409 7.937
Tc Th Hg
1 4 3
direct
0.500 0.500 0.000
0.000 0.000 0.898
0.000 0.000 0.102
0.000 0.000 0.370
0.000 0.000 0.630
0.500 0.500 0.241
0.500 0.500 0.500
0.500 0.500 0.759
```

Values from the calculation:
ΔE_f   -20 kJ/mol of atoms
Total magnetic moment   0.000 μB per atom
Raw total energy   -5.326 eV/atom
D(E_F)   1.004 states/eV/atom

=====

Record 7
# NaLa4S5

NaLa4S5 after structural relaxation (PBE, the Alexandria database).

Cell and atoms, written as POSCAR:
```
NaLa4S5
1.0
5.270 0.000 2.542
2.635 6.567 1.271
-0.218 0.000 7.186
Na La S
1 4 5
direct
0.001 0.000 0.000
0.399 0.401 0.803
0.800 0.803 0.599
0.202 0.197 0.401
0.603 0.599 0.197
0.903 0.398 0.799
0.300 0.799 0.602
0.702 0.201 0.398
0.099 0.602 0.201
0.501 0.000 0.000
```

Values from the calculation:
Total magnetic moment   0.000 μB per atom
Raw total energy   -6.200 eV/atom
Uncorrected formation energy   -20.3 eV/f.u.
D(E_F)   0.512 states/eV/atom

=====

Record 8
# Cd3W

Cd3W after structural relaxation (PBE, the Alexandria database).

Cell and atoms, written as POSCAR:
```
Cd3W
1.0
-1.554 -2.441 4.600
3.984 -0.882 3.590
-1.729 4.270 -2.884
W Cd
1 3
direct
0.250 0.750 0.500
0.000 0.000 0.000
0.500 0.500 0.000
0.750 0.250 0.500
```

Values from the calculation:
ΔE_f   72 kJ/mol of atoms
Total magnetic moment   0.000 μB per atom
Raw total energy   -3.178 eV/atom
Distance to the lowest polymorph of the same formula   363 meV per atom
D(E_F)   0.768 states/eV/atom